No. 1
First-principles (PBE) data for an optimized crystal structure of RbNa2VAu, as listed in the Alexandria database.

Computed properties:
As for the total DFT energy (no corrections): -1.813 eV per atom. The energy of formation comes out at 1.387 eV/atom. Its space group is No. 123. For the magnetization, the calculation gives 4.94 μB/cell.

Lattice parameters (Å, degrees): 5.904 5.904 5.599 90.00 90.00 90.00
Fractional coordinates of all 5 atoms:
Rb: 0.000 0.000 0.000
Na: 0.000 0.500 0.000
Na: 0.500 0.000 0.000
V: 0.000 0.000 0.500
Au: 0.500 0.500 0.500


No. 2
First-principles (PBE) data for an optimized crystal structure of La4IrPdAu2, as listed in the Alexandria database.

Computed properties:
As for the total DFT energy (no corrections): -5.830 eV per atom. The energy of formation comes out at -0.790 eV/atom. Its space group is No. 10. For the magnetization, the calculation gives 0.00 μB/cell.

Lattice parameters (Å, degrees): 7.415 4.278 7.611 90.00 108.81 90.00
Fractional coordinates of all 8 atoms:
La: 0.233 0.000 0.225
La: 0.248 0.500 0.772
La: 0.752 0.500 0.228
La: 0.767 0.000 0.775
Ir: 0.000 0.500 0.000
Pd: 0.500 0.000 0.000
Au: 0.000 0.000 0.500
Au: 0.500 0.500 0.500


No. 3
First-principles (PBE) data for an optimized crystal structure of U6Ag3S14, as listed in the Alexandria database.

Computed properties:
The formation energy from raw total energies is -1052 meV per atom. As for the total DFT energy (no corrections): -6.881 eV per atom. Its space group is No. 143. For the magnetization, the calculation gives 11.00 μB/cell.

Lattice parameters (Å, degrees): 9.673 9.673 5.789 90.00 90.00 120.00
Fractional coordinates of all 23 atoms:
U: 0.040 0.559 0.000
U: 0.291 0.107 0.498
U: 0.441 0.482 0.000
U: 0.518 0.960 0.000
U: 0.816 0.709 0.498
U: 0.893 0.184 0.498
Ag: 0.000 0.000 0.891
Ag: 0.333 0.667 0.391
Ag: 0.667 0.333 0.735
S: 0.000 0.000 0.308
S: 0.107 0.837 0.728
S: 0.163 0.270 0.728
S: 0.171 0.395 0.227
S: 0.225 0.829 0.227
S: 0.333 0.667 0.811
S: 0.408 0.185 0.031
S: 0.514 0.450 0.525
S: 0.550 0.064 0.525
S: 0.605 0.775 0.227
S: 0.730 0.893 0.728
S: 0.776 0.592 0.031
S: 0.815 0.224 0.031
S: 0.936 0.486 0.525